(1)
{
  "formula": "Nd4SmGa2",
  "functional": "PBE",
  "state": "relaxed",
  "spacegroup": "No. 166",
  "magmom_total_mub_per_fu": 0.0,
  "dos_at_fermi_per_ev_atom": 1.736,
  "e_form_mev_per_atom": -94,
  "final_energy_ev_per_atom": -4.3570,
  "lattice": [[5.0877, 0.0000, 0.0000], [2.5438, 4.4060, 0.0000], [2.5438, 1.4687, 10.2012]],
  "species": ["Nd", "Sm", "Nd", "Nd", "Nd", "Ga", "Ga"],
  "frac_coords": [[0.2979, 0.2979, 0.1063], [0.5000, 0.5000, 0.5000], [0.7021, 0.7021, 0.8937], [0.8966, 0.8966, 0.3101], [0.1034, 0.1034, 0.6899], [0.5992, 0.5992, 0.2025], [0.4008, 0.4008, 0.7975]]
}

---

(2)
{
  "formula": "NdSm5Ga4",
  "functional": "PBE",
  "state": "relaxed",
  "spacegroup": "No. 123",
  "magmom_total_mub_per_fu": 0.0,
  "dos_at_fermi_per_ev_atom": 0.787,
  "e_form_mev_per_atom": -441,
  "final_energy_ev_per_atom": -4.4882,
  "lattice": [[-0.1843, 3.5590, -0.6427], [-3.3910, 0.0537, 1.2697], [7.0153, 3.7183, 18.5784]],
  "species": ["Nd", "Ga", "Sm", "Ga", "Ga", "Ga", "Sm", "Sm", "Sm", "Sm"],
  "frac_coords": [[0.0000, 0.0000, 0.0000], [0.0000, 0.0000, 0.5920], [0.5000, 0.5000, 0.8663], [0.0000, 0.0000, 0.4080], [0.0000, 0.0000, 0.2229], [0.0000, 0.0000, 0.7771], [0.5000, 0.5000, 0.6837], [0.5000, 0.5000, 0.3163], [0.5000, 0.5000, 0.1337], [0.5000, 0.5000, 0.5000]]
}

---

(3)
{
  "formula": "Nd3SmGa3",
  "functional": "PBE",
  "state": "relaxed",
  "spacegroup": "No. 176",
  "magmom_total_mub_per_fu": 0.0,
  "dos_at_fermi_per_ev_atom": 0.883,
  "e_form_mev_per_atom": -397,
  "final_energy_ev_per_atom": -4.4116,
  "lattice": [[-2.4197, -0.3489, -4.1684], [3.9468, -8.5060, -1.5791], [-8.2288, 0.6199, 4.7249]],
  "species": ["Sm", "Nd", "Ga", "Nd", "Ga", "Nd", "Ga", "Ga", "Ga", "Nd", "Nd", "Sm", "Ga", "Nd"],
  "frac_coords": [[0.2500, 0.6667, 0.3333], [0.2500, 0.2403, 0.2621], [0.7500, 0.9417, 0.5457], [0.7500, 0.7597, 0.7379], [0.2500, 0.0583, 0.4543], [0.2500, 0.7379, 0.9782], [0.7500, 0.4543, 0.3960], [0.2500, 0.5457, 0.6040], [0.2500, 0.3960, 0.9417], [0.2500, 0.0218, 0.7597], [0.7500, 0.2621, 0.0218], [0.7500, 0.3333, 0.6667], [0.7500, 0.6040, 0.0583], [0.7500, 0.9782, 0.2403]]
}

---

(4)
{
  "formula": "NdSm2Ga",
  "functional": "PBE",
  "state": "relaxed",
  "spacegroup": "No. 166",
  "magmom_total_mub_per_fu": 0.0,
  "dos_at_fermi_per_ev_atom": 1.030,
  "e_form_mev_per_atom": -34,
  "final_energy_ev_per_atom": -4.3427,
  "lattice": [[5.0672, 0.0000, 0.0000], [2.5336, 4.3884, 0.0000], [2.5336, 1.4628, 5.3939]],
  "species": ["Ga", "Sm", "Sm", "Nd"],
  "frac_coords": [[0.0000, 0.0000, 0.0000], [0.2716, 0.2716, 0.1853], [0.7284, 0.7284, 0.8147], [0.5000, 0.5000, 0.5000]]
}

---

(5)
{
  "formula": "Nd3SmGa",
  "functional": "PBE",
  "state": "relaxed",
  "spacegroup": "No. 2",
  "magmom_total_mub_per_fu": 0.0,
  "dos_at_fermi_per_ev_atom": 1.176,
  "e_form_mev_per_atom": -198,
  "final_energy_ev_per_atom": -4.6075,
  "lattice": [[8.5693, 0.5943, 0.4673], [-3.8483, 5.3575, -1.1884], [-3.9160, -3.3979, 6.8323]],
  "species": ["Nd", "Nd", "Sm", "Nd", "Nd", "Sm", "Nd", "Nd", "Ga", "Ga"],
  "frac_coords": [[0.7285, 0.8787, 0.8127], [0.8349, 0.6855, 0.1863], [0.5834, 0.9040, 0.3442], [0.0871, 0.4061, 0.3468], [0.2285, 0.3779, 0.8139], [0.4800, 0.1594, 0.6559], [0.3347, 0.1844, 0.1873], [0.9763, 0.6572, 0.6531], [0.5317, 0.0317, 0.0000], [0.0316, 0.5317, 0.9999]]
}

---

(6)
{
  "formula": "Nd3Sm2Ga4",
  "functional": "PBE",
  "state": "relaxed",
  "spacegroup": "No. 12",
  "magmom_total_mub_per_fu": 0.0,
  "dos_at_fermi_per_ev_atom": 0.848,
  "e_form_mev_per_atom": -449,
  "final_energy_ev_per_atom": -4.4321,
  "lattice": [[4.5789, 0.0000, 0.0000], [-2.2895, 5.3993, 0.5272], [0.0000, -0.6138, 9.8500]],
  "species": ["Sm", "Ga", "Nd", "Ga", "Nd", "Ga", "Sm", "Nd", "Ga"],
  "frac_coords": [[0.6763, 0.3526, 0.7701], [0.6951, 0.3902, 0.0749], [0.3772, 0.7545, 0.6111], [0.9220, 0.8441, 0.3966], [0.0000, 0.0000, 0.0000], [0.3049, 0.6098, 0.9251], [0.3237, 0.6474, 0.2299], [0.6228, 0.2455, 0.3889], [0.0780, 0.1559, 0.6034]]
}

---

(7)
{
  "formula": "NdSmGa2",
  "functional": "PBE",
  "state": "relaxed",
  "spacegroup": "No. 166",
  "magmom_total_mub_per_fu": 0.0,
  "dos_at_fermi_per_ev_atom": 0.613,
  "e_form_mev_per_atom": -382,
  "final_energy_ev_per_atom": -4.2674,
  "lattice": [[3.7945, 0.0000, 0.0000], [1.8973, 3.2861, 0.0000], [1.8973, 1.0954, 8.8111]],
  "species": ["Nd", "Ga", "Ga", "Sm"],
  "frac_coords": [[0.5000, 0.5000, 0.5000], [0.2510, 0.2510, 0.2471], [0.7490, 0.7490, 0.7529], [0.0000, 0.0000, 0.0000]]
}

---

(8)
{
  "formula": "NdSm3Ga",
  "functional": "PBE",
  "state": "relaxed",
  "spacegroup": "No. 2",
  "magmom_total_mub_per_fu": 0.0,
  "dos_at_fermi_per_ev_atom": 1.108,
  "e_form_mev_per_atom": -205,
  "final_energy_ev_per_atom": -4.5950,
  "lattice": [[-2.5791, -1.3135, 2.3821], [5.0656, -6.7740, 1.7430], [3.9799, 7.2737, 5.3634]],
  "species": ["Sm", "Ga", "Ga", "Sm", "Nd", "Nd", "Sm", "Sm", "Sm", "Sm"],
  "frac_coords": [[0.2318, 0.7279, 0.7193], [0.8122, 0.5454, 0.8815], [0.0182, 0.6793, 0.2938], [0.2174, 0.2969, 0.6932], [0.0085, 0.1561, 0.2763], [0.8220, 0.0685, 0.8991], [0.4170, 0.4145, 0.0879], [0.5987, 0.4968, 0.4560], [0.4135, 0.8101, 0.0875], [0.6131, 0.9276, 0.4822]]
}